(1)
This record from the Open Quantum Materials Database describes a geometry-optimized GdHo2Al3Si2Ir structure. The functional is GGA-PBE.

Lattice parameters (Å, degrees): 4.221 6.917 6.917 120.11 90.00 90.00
Fractional positions:
Al: 0.500 0.999 0.233
Al: 0.500 0.768 0.768
Al: 0.500 0.233 0.999
Gd: 0.000 0.417 0.417
Ho: 0.000 0.585 0.001
Ho: 0.000 0.001 0.585
Ir: 0.000 0.997 0.997
Si: 0.500 0.668 0.332
Si: 0.500 0.332 0.668

## Properties
* calculated density: 7.76 g/cm³
* energy: -52.49 eV for the cell shown

(2)
This record from the Open Quantum Materials Database describes a geometry-optimized Gd2HoMg4Al2 structure. The functional is GGA-PBE.

Lattice parameters (Å, degrees): 4.583 7.489 7.489 119.65 90.00 90.00
Fractional positions:
Al: 0.500 0.667 0.335
Al: 0.500 0.335 0.667
Gd: 0.000 0.435 0.001
Gd: 0.000 0.001 0.435
Ho: 0.000 0.565 0.565
Mg: 0.500 0.250 0.250
Mg: 0.500 0.000 0.750
Mg: 0.000 0.998 0.998
Mg: 0.500 0.750 0.000

## Properties
* calculated density: 4.69 g/cm³
* energy: -29.64 eV for the cell shown

(3)
This record from the Open Quantum Materials Database describes a geometry-optimized Gd2HoMg3Al2Zn structure. The functional is GGA-PBE.

Lattice parameters (Å, degrees): 4.493 7.361 7.361 119.69 90.00 90.00
Fractional positions:
Al: 0.500 0.667 0.335
Al: 0.500 0.335 0.667
Gd: 0.000 0.419 0.001
Gd: 0.000 0.001 0.419
Ho: 0.000 0.582 0.582
Mg: 0.500 0.241 0.241
Mg: 0.500 0.000 0.758
Mg: 0.500 0.758 0.000
Zn: 0.000 0.997 0.997

## Properties
* calculated density: 5.27 g/cm³
* energy: -30.17 eV for the cell shown

(4)
This record from the Open Quantum Materials Database describes a geometry-optimized GdHo2Al3Ni3 structure. The functional is GGA-PBE.

Lattice parameters (Å, degrees): 3.951 6.899 6.899 119.90 90.00 90.00
Fractional positions:
Al: 0.500 0.765 0.002
Al: 0.500 0.234 0.234
Al: 0.500 0.002 0.765
Gd: 0.000 0.583 0.583
Ho: 0.000 0.999 0.415
Ho: 0.000 0.415 0.999
Ni: 0.000 0.003 0.003
Ni: 0.500 0.668 0.330
Ni: 0.500 0.330 0.668

## Properties
* calculated density: 7.58 g/cm³
* energy: -47.22 eV for the cell shown

(5)
This record from the Open Quantum Materials Database describes a geometry-optimized GdHoAl4Ni2 structure. The functional is GGA-PBE.

Lattice parameters (Å, degrees): 6.879 5.481 5.481 43.46 90.00 90.00
Fractional positions:
Al: 0.304 0.157 0.157
Al: 0.696 0.157 0.157
Al: 0.195 0.843 0.843
Al: 0.805 0.843 0.843
Gd: 0.500 0.439 0.439
Ho: 0.000 0.561 0.561
Ni: 0.000 0.284 0.284
Ni: 0.500 0.716 0.716

## Properties
* calculated density: 6.40 g/cm³
* energy: -40.44 eV for the cell shown

(6)
This record from the Open Quantum Materials Database describes a geometry-optimized GdHo2Al3Si2Pd structure. The functional is GGA-PBE.

Lattice parameters (Å, degrees): 4.253 6.890 6.890 120.06 90.00 90.00
Fractional positions:
Al: 0.500 0.999 0.239
Al: 0.500 0.762 0.762
Al: 0.500 0.239 0.999
Gd: 0.000 0.418 0.418
Ho: 0.000 0.583 0.001
Ho: 0.000 0.001 0.583
Pd: 0.000 0.997 0.997
Si: 0.500 0.669 0.333
Si: 0.500 0.333 0.669

## Properties
* calculated density: 6.94 g/cm³
* energy: -48.22 eV for the cell shown

(7)
This record from the Open Quantum Materials Database describes a geometry-optimized GdHoAl2Pt4 structure. The functional is GGA-PBE.

Lattice parameters (Å, degrees): 4.346 4.346 9.257 90.00 90.00 120.00
Fractional positions:
Al: 0.667 0.333 0.251
Al: 0.667 0.333 0.749
Gd: 0.000 0.000 0.000
Ho: 0.333 0.667 0.500
Pt: 0.333 0.667 0.170
Pt: 0.000 0.000 0.337
Pt: 0.000 0.000 0.663
Pt: 0.333 0.667 0.830

## Properties
* calculated density: 12.68 g/cm³
* energy: -50.42 eV for the cell shown

(8)
This record from the Open Quantum Materials Database describes a geometry-optimized Gd2HoAl3Si2Pt structure. The functional is GGA-PBE.

Lattice parameters (Å, degrees): 4.235 6.941 6.941 119.99 90.00 90.00
Fractional positions:
Al: 0.500 0.237 0.001
Al: 0.500 0.001 0.237
Al: 0.500 0.763 0.763
Gd: 0.000 0.999 0.582
Gd: 0.000 0.582 0.999
Ho: 0.000 0.416 0.416
Pt: 0.000 0.003 0.003
Si: 0.500 0.664 0.334
Si: 0.500 0.334 0.664

## Properties
* calculated density: 7.62 g/cm³
* energy: -49.87 eV for the cell shown

(9)
This record from the Open Quantum Materials Database describes a geometry-optimized GdHo2TmAl2 structure. The functional is GGA-PBE.

Lattice parameters (Å, degrees): 5.213 5.213 6.623 90.00 90.00 120.00
Fractional positions:
Al: 0.000 0.000 0.000
Al: 0.333 0.667 0.500
Gd: 0.000 0.000 0.500
Ho: 0.667 0.333 0.247
Ho: 0.667 0.333 0.753
Tm: 0.333 0.667 0.000

## Properties
* calculated density: 7.56 g/cm³
* energy: -27.40 eV for the cell shown

(10)
This record from the Open Quantum Materials Database describes a geometry-optimized NdGdAl2I2 structure. The functional is GGA-PBE.

Lattice parameters (Å, degrees): 4.341 4.341 12.260 90.00 90.00 120.00
Fractional positions:
Al: 0.333 0.667 0.018
Al: 0.667 0.333 0.989
Gd: 0.000 0.000 0.172
I: 0.667 0.333 0.331
I: 0.333 0.667 0.662
Nd: 0.000 0.000 0.829

## Properties
* calculated density: 5.06 g/cm³
* energy: -25.56 eV for the cell shown

(11)
This record from the Open Quantum Materials Database describes a geometry-optimized TbGdAl2I2 structure. The functional is GGA-PBE.

Lattice parameters (Å, degrees): 4.298 4.298 12.064 90.00 90.00 120.00
Fractional positions:
Al: 0.333 0.667 0.014
Al: 0.667 0.333 0.985
Gd: 0.000 0.000 0.171
I: 0.667 0.333 0.335
I: 0.333 0.667 0.667
Tb: 0.000 0.000 0.829

## Properties
* calculated density: 5.37 g/cm³
* energy: -25.29 eV for the cell shown

(12)
This record from the Open Quantum Materials Database describes a geometry-optimized GdTmAl2I2 structure. The functional is GGA-PBE.

Lattice parameters (Å, degrees): 4.282 4.282 12.084 90.00 90.00 120.00
Fractional positions:
Al: 0.667 0.333 0.480
Al: 0.333 0.667 0.514
Gd: 0.000 0.000 0.668
I: 0.333 0.667 0.174
I: 0.667 0.333 0.832
Tm: 0.000 0.000 0.332

## Properties
* calculated density: 5.49 g/cm³
* energy: -24.92 eV for the cell shown